Record 1
Density functional theory data (PBE) for a geometry-optimized BaVGe2Mo structure.

Lattice parameters (Å, degrees): 4.990 4.897 4.990 90.00 90.00 90.00
Atoms (fractional coordinates):
1 Ba 0.500 0.500 0.500
2 Mo 0.000 0.000 0.000
3 Ge 0.500 0.000 0.000
4 Ge 0.000 0.000 0.500
5 V 0.000 0.500 0.000

Computed properties:
- space-group type = P4/mmm
- total magnetization (μB/f.u.) = 2.17
- formation energy (eV/f.u.) = 0.94

Record 2
Density functional theory data (PBE) for a geometry-optimized Ba2VGeMo structure.

Lattice parameters (Å, degrees): 5.917 4.915 5.917 90.00 90.00 90.00
Atoms (fractional coordinates):
1 Ba 0.000 0.000 0.500
2 V 0.500 0.500 0.500
3 Ge 0.000 0.500 0.000
4 Ba 0.500 0.000 0.000
5 Mo 0.000 0.000 0.000

Computed properties:
- space-group type = P4/mmm
- total magnetization (μB/f.u.) = 4.23
- formation energy (eV/f.u.) = 5.04